Material: Nb3Rh2
Method: DFT, GGA-PBE
State: optimized geometry

Summary:
total magnetization = 0.00 Bohr magnetons per cell
ΔE_f = -1.30 eV/f.u.
D(E_F) = 1.0362 states/eV/atom
E = -9.243 eV/atom

Lattice parameters (Å, degrees): 2.900 3.792 15.141 90.00 90.00 90.00
Space group Immm (No. 71)
Inequivalent atoms, fractional coordinates:
Nb 0.000 0.000 0.000
Nb 0.000 0.000 0.194
Rh 0.000 0.000 0.401